Entry 1:
This record from Alexandria describes a relaxed BePBr2 crystal. The functional is PBE.

abc: 5.6059 5.6059 7.1789
angles: 77.95 77.95 33.36
Closest atoms and distances in Å follow each position.
Fractional positions:
Br 0.1094 0.1094 0.8775  2 Be 2.24
Be 0.7384 0.7384 0.7256  2 Br 2.24, 2 P 2.36
P 0.3829 0.3829 0.5621  1 Br 2.24, 2 Be 2.36
Br 0.2694 0.2694 0.3349  1 P 2.24

## Properties
ΔE_f (raw), eV/atom: -0.035
DOS(E_F), states/eV/f.u.: 1.69
DFT total energy, eV/atom: -3.1550
Offset from the most stable computed form, meV/atom: 201
Space group: No. 8
Calculated volume, Å³ per atom: 30.27

Entry 2:
This record from Alexandria describes a relaxed BePBr2 crystal. The functional is PBE.

abc: 4.7472 4.7472 4.7472
angles: 60.00 60.00 60.00
Closest atoms and distances in Å follow each position.
Fractional positions:
Br 0.7500 0.7500 0.7500  4 P 2.91, 4 Be 2.91
Be 0.0000 0.0000 0.0000  8 Br 2.91
Br 0.2500 0.2500 0.2500  4 Be 2.91, 4 P 2.91
P 0.5000 0.5000 0.5000  8 Br 2.91

## Properties
ΔE_f (raw), eV/atom: 0.979
DOS(E_F), states/eV/f.u.: 2.72
DFT total energy, eV/atom: -2.1412
Offset from the most stable computed form, meV/atom: 1215
Space group: No. 225
Calculated volume, Å³ per atom: 18.91

Entry 3:
This record from Alexandria describes a relaxed BePBr2 crystal. The functional is PBE.

abc: 11.5638 11.5638 11.5638
angles: 16.55 16.55 16.55
Closest atoms and distances in Å follow each position.
Fractional positions:
P 0.0000 0.0000 0.0000  6 P 3.33
Be 0.5000 0.5000 0.5000  6 Br 2.38
Br 0.1257 0.1257 0.1257  3 Be 2.38
Br 0.8743 0.8743 0.8743  3 Be 2.38

## Properties
ΔE_f (raw), eV/atom: 0.144
DOS(E_F), states/eV/f.u.: 1.23
DFT total energy, eV/atom: -2.9763
Offset from the most stable computed form, meV/atom: 380
Space group: No. 166
Calculated volume, Å³ per atom: 27.37

Entry 4:
This record from Alexandria describes a relaxed BePBr2 crystal. The functional is PBE.

abc: 7.3360 7.3360 7.3360
angles: 151.19 151.19 41.20
Closest atoms and distances in Å follow each position.
Fractional positions:
Br 0.2500 0.7500 0.5000  4 Be 2.58
P 0.5000 0.5000 0.0000  4 Br 2.58
Br 0.0000 0.0000 0.0000  4 P 2.58
Be 0.7500 0.2500 0.5000  4 Br 2.58

## Properties
ΔE_f (raw), eV/atom: 0.669
DOS(E_F), states/eV/f.u.: 2.31
DFT total energy, eV/atom: -2.4513
Offset from the most stable computed form, meV/atom: 905
Space group: No. 119
Calculated volume, Å³ per atom: 22.87